(1)
Mg2CdAg: relaxed, PBE.

Results
* calculated volume: 24.2 Å³ per atom
* SG: Immm (71)
* ρ: 4.62 g cm⁻³
* DOS(E_F): 1.04 states/eV/cell
* energy: -0.11918 Ry per atom

Cell lengths 7.2194, 7.2194, 7.2194 Å; angles 156.20, 140.35, 46.77 degrees
Fractional positions:
Mg1 0.2067 0.2067 0.0000
Mg2 0.7933 0.7933 0.0000
Cd1 0.5000 0.5000 0.0000
Ag1 0.0000 0.0000 0.0000

=====

(2)
ZnIrAu: relaxed, PBE.

Results
* calculated volume: 15.7 Å³ per atom
* SG: Fmm2 (42)
* ρ: 16.00 g cm⁻³
* DOS(E_F): 1.97 states/eV/cell
* energy: -0.32397 Ry per atom

Cell lengths 7.2262, 6.9666, 2.8000 Å; angles 83.89, 73.45, 22.66 degrees
Fractional positions:
Zn1 0.0000 0.0000 0.0000
Ir1 0.3471 0.3471 0.6529
Au1 0.6659 0.6659 0.3341

=====

(3)
In2CuBi: relaxed, PBE.

Results
* calculated volume: 25.5 Å³ per atom
* SG: R3m (160)
* ρ: 8.16 g cm⁻³
* DOS(E_F): 2.22 states/eV/cell
* energy: -0.23889 Ry per atom

Cell lengths 6.4954, 6.4954, 6.4954 Å; angles 40.03, 40.03, 40.03 degrees
Fractional positions:
In1 0.0000 0.0000 0.0000
In2 0.2153 0.2153 0.2153
Cu1 0.6115 0.6115 0.6115
Bi1 0.7714 0.7714 0.7714

=====

(4)
CdAg3Au5: relaxed, PBE.

Results
* calculated volume: 20.6 Å³ per atom
* SG: I4/mcm (140)
* ρ: 12.74 g cm⁻³
* DOS(E_F): 5.74 states/eV/cell
* energy: -0.19655 Ry per atom

Cell lengths 7.9946, 7.9946, 7.9946 Å; angles 118.21, 118.21, 93.12 degrees
Fractional positions:
Cd1 0.2500 0.7500 0.5000
Cd2 0.7500 0.2500 0.5000
Ag1 0.1099 0.6099 0.7199
Ag2 0.2500 0.2500 0.0000
Ag3 0.3901 0.1099 0.5000
Ag4 0.6099 0.8901 0.5000
Ag5 0.7500 0.7500 0.0000
Ag6 0.8901 0.3901 0.2801
Au1 0.0000 0.0000 0.0000
Au2 0.0682 0.1649 0.5000
Au3 0.1649 0.6649 0.0966
Au4 0.3351 0.4318 0.5000
Au5 0.4318 0.9318 0.0966
Au6 0.5000 0.5000 0.0000
Au7 0.5682 0.0682 0.9034
Au8 0.6649 0.5682 0.5000
Au9 0.8351 0.3351 0.9034
Au10 0.9318 0.8351 0.5000